(1)
Here is a relaxed Er8Co3Ag2 crystal from the Alexandria database. Energies are from PBE.

Values from the calculation:
- VASP energy: -64.6 eV/cell
- Calculated volume: 26.568 A^3/atom
- Size of the total moment: 0.00 μB per cell
- Density: 8.32 g/cm³
- Space group: P2/m

Lattice parameters (Å, degrees): 3.8847 12.4637 7.7600 113.18 90.00 90.00
Element x y z (fractional)
Co 0.0000 0.2669 0.0192
Co 0.0000 0.7331 0.9808
Co 0.5000 0.0000 0.0000
Er 0.0000 0.1305 0.2074
Er 0.0000 0.6244 0.1887
Er 0.5000 0.8664 0.1968
Er 0.5000 0.1336 0.8032
Er 0.0000 0.8695 0.7926
Er 0.5000 0.3937 0.2289
Er 0.0000 0.3756 0.8113
Er 0.5000 0.6063 0.7711
Ag 0.5000 0.7194 0.4886
Ag 0.5000 0.2806 0.5114

***

(2)
Here is a relaxed CaAc2PrBi4 crystal from the Alexandria database. Energies are from PBE.

Values from the calculation:
- VASP energy: -37.6 eV/cell
- Calculated volume: 38.246 A^3/atom
- Size of the total moment: 0.00 μB per cell
- Density: 7.98 g/cm³
- Space group: P2/m

Lattice parameters (Å, degrees): 4.7957 8.1748 8.2977 70.15 90.00 90.00
Element x y z (fractional)
Ac 0.5000 0.0000 0.5000
Ac 0.0000 0.0000 0.0000
Bi 0.0000 0.7362 0.7542
Bi 0.0000 0.2638 0.2458
Bi 0.5000 0.7365 0.2549
Bi 0.5000 0.2635 0.7451
Pr 0.0000 0.5000 0.5000
Ca 0.5000 0.5000 0.0000

***

Among the records above, which one has the lowest density? CaAc2PrBi4

***

What is the VASP energy in the first record? -64.6 eV/cell

***

Among the records above, which one has the highest VASP energy? CaAc2PrBi4

***

What is the VASP energy in the second record? -37.6 eV/cell